Record 1
Here is crystalline PmPr3Nd3 at its relaxed geometry from Alexandria via LeMat-Bulk. Energies are from PBE.

```
data_PmPr3Nd3
_chemical_formula_sum 'Pm6 Pr18 Nd18'
_cell_length_a 8.9214
_cell_length_b 8.9214
_cell_length_c 22.4071
_cell_angle_alpha 90.00
_cell_angle_beta 90.00
_cell_angle_gamma 120.00
_symmetry_space_group_name_H-M 'R -3'
_symmetry_Int_Tables_number 148
_symmetry_space_group_name_Hall '-R 3'
loop_
_atom_site_label
_atom_site_fract_x
_atom_site_fract_y
_atom_site_fract_z
_atom_site_occupancy
Pm1 0.0000 0.0000 0.1531 1
Pr1 0.0499 0.6022 0.3813 1
Nd1 0.0036 0.7654 0.5581 1
```

Properties
Uncorrected energy in eV/atom: -4.5680
Energy relative to the elements in eV per atom: 0.202
Spin magnetization in μB per formula unit: 0.000

---

Record 2
Here is crystalline PmPr4Nd2 at its relaxed geometry from Alexandria via LeMat-Bulk. Energies are from PBE.

```
data_PmPr4Nd2
_chemical_formula_sum 'Pm3 Pr12 Nd6'
_cell_length_a 3.6992
_cell_length_b 3.6992
_cell_length_c 63.2451
_cell_angle_alpha 90.00
_cell_angle_beta 90.00
_cell_angle_gamma 120.00
_symmetry_space_group_name_H-M 'R -3 m'
_symmetry_Int_Tables_number 166
_symmetry_space_group_name_Hall '-R 3 2"'
loop_
_atom_site_label
_atom_site_fract_x
_atom_site_fract_y
_atom_site_fract_z
_atom_site_occupancy
Pm1 0.0000 0.0000 0.0000 1
Pr1 0.0000 0.0000 0.1426 1
Pr2 0.0000 0.0000 0.2860 1
Nd1 0.0000 0.0000 0.4283 1
```

Properties
Uncorrected energy in eV/atom: -4.7649
Energy relative to the elements in eV per atom: 0.007
Spin magnetization in μB per formula unit: 0.000

---

Record 3
Here is crystalline Pm5Pr4Nd3 at its relaxed geometry from Alexandria via LeMat-Bulk. Energies are from PBE.

```
data_Pm5Pr4Nd3
_chemical_formula_sum 'Pm10 Pr8 Nd6'
_cell_length_a 16.469
_cell_length_b 6.110
_cell_length_c 9.520
_cell_angle_alpha 90.00
_cell_angle_beta 116.02
_cell_angle_gamma 90.00
_symmetry_space_group_name_H-M 'C 1 2/m 1'
_symmetry_Int_Tables_number 12
_symmetry_space_group_name_Hall '-C 2y'
loop_
_atom_site_label
_atom_site_fract_x
_atom_site_fract_y
_atom_site_fract_z
_atom_site_occupancy
Pm1 0.000 0.000 0.000 1
Pm2 0.073 0.500 0.698 1
Pm3 0.172 0.500 0.390 1
Pr1 0.083 0.000 0.442 1
Pr2 0.212 0.000 0.878 1
Nd1 0.000 0.500 0.000 1
Nd2 0.208 0.000 0.227 1
```

Properties
Uncorrected energy in eV/atom: -4.5700
Energy relative to the elements in eV per atom: 0.195
Spin magnetization in μB per formula unit: 0.001